1.
Entry from the Alexandria database: a relaxed structure of CsRb2CdBr (PBE-GGA).

Properties
Raw total energy (eV/f.u.): -8.3
Crystal system: tetragonal
Total moment (μB per cell): 0.00
Calculated density (Mg/m³): 2.6
Energy relative to the elements, uncorrected (eV/atom): -0.586

a b c (Å): 6.6915 6.6915 7.0864
angles (deg): 90.00 90.00 90.00
Last column: nearest neighbours and their distance in Å.
Fractional positions:
Br 0.0000 0.0000 0.0000  4 Rb 3.35, 2 Cs 3.54
Cs 0.0000 0.0000 0.5000  2 Br 3.54
Rb 0.0000 0.5000 0.0000  2 Br 3.35
Rb 0.5000 0.0000 0.0000  2 Br 3.35
Cd 0.5000 0.5000 0.5000  4 Cs 4.73, 8 Rb 4.87

=====

2.
Entry from the Alexandria database: a relaxed structure of Cs3RbCd2Br9 (PBE-GGA).

Properties
Raw total energy (eV/f.u.): -39.1
Crystal system: trigonal
Total moment (μB per cell): 0.33
Calculated density (Mg/m³): 3.8
Energy relative to the elements, uncorrected (eV/atom): -1.246

a b c (Å): 7.8316 7.8316 11.7411
angles (deg): 90.00 90.00 120.00
Last column: nearest neighbours and their distance in Å.
Fractional positions:
Cs 0.0000 0.0000 0.0000  12 Br 3.92-4.00
Cs 0.3333 0.6667 0.7461  9 Br 3.74-3.93
Cs 0.6667 0.3333 0.2539  9 Br 3.74-3.93
Br 0.1659 0.3318 0.2818  1 Cd 2.73
Br 0.1659 0.8341 0.2818  1 Cd 2.73
Br 0.3318 0.1659 0.7182  1 Cd 2.73
Br 0.6682 0.8341 0.2818  1 Cd 2.73
Br 0.5000 0.5000 0.0000  2 Cd 2.88
Br 0.8341 0.6682 0.7182  1 Cd 2.73
Br 0.5000 0.0000 0.0000  2 Cd 2.88
Br 0.0000 0.5000 0.0000  2 Cd 2.88
Br 0.8341 0.1659 0.7182  1 Cd 2.73
Rb 0.0000 0.0000 0.5000  6 Br 3.41
Cd 0.3333 0.6667 0.1524  6 Br 2.73-2.88
Cd 0.6667 0.3333 0.8476  6 Br 2.73-2.88

=====

3.
Entry from the Alexandria database: a relaxed structure of CsRbCdBr4 (PBE-GGA).

Properties
Raw total energy (eV/f.u.): -19.3
Crystal system: monoclinic
Total moment (μB per cell): 0.00
Calculated density (Mg/m³): 3.6
Energy relative to the elements, uncorrected (eV/atom): -1.414

a b c (Å): 8.0523 7.8790 10.0153
angles (deg): 90.00 108.24 90.00
Last column: nearest neighbours and their distance in Å.
Fractional positions:
Br 0.4162 0.7500 0.5739  1 Cd 2.62
Br 0.5844 0.2500 0.8626  1 Cd 2.63
Br 0.9979 0.9940 0.7474  1 Cd 2.64
Br 0.5838 0.2500 0.4261  1 Cd 2.62
Br 0.9979 0.5060 0.7474  1 Cd 2.64
Br 0.0021 0.0060 0.2526  1 Cd 2.64
Br 0.0021 0.4940 0.2526  1 Cd 2.64
Br 0.4156 0.7500 0.1374  1 Cd 2.63
Cd 0.2255 0.7500 0.3088  4 Br 2.62-2.64
Cd 0.7745 0.2500 0.6912  4 Br 2.62-2.64
Cs 0.2701 0.2500 0.0667  8 Br 3.69-4.11
Cs 0.7299 0.7500 0.9333  8 Br 3.69-4.11
Rb 0.2238 0.2500 0.5551  6 Br 3.51-3.64
Rb 0.7762 0.7500 0.4449  6 Br 3.51-3.64

=====

4.
Entry from the Alexandria database: a relaxed structure of Cs3Rb3CdBr8 (PBE-GGA).

Properties
Raw total energy (eV/f.u.): -43.5
Crystal system: monoclinic
Total moment (μB per cell): 0.00
Calculated density (Mg/m³): 3.3
Energy relative to the elements, uncorrected (eV/atom): -1.582

a b c (Å): 9.9074 9.9023 10.0880
angles (deg): 119.40 90.00 120.02
Last column: nearest neighbours and their distance in Å.
Fractional positions:
Cs 0.5000 0.5000 0.0000  6 Br 3.61-3.66
Cs 0.0000 0.5000 0.0000  6 Br 3.61-3.66
Cs 0.0000 0.0000 0.0000  6 Br 3.61-3.66
Rb 0.0000 0.5000 0.5000  6 Br 3.46-3.53
Rb 0.5000 0.0000 0.5000  6 Br 3.46-3.53
Rb 0.5000 0.5000 0.5000  6 Br 3.46-3.53
Br 0.7973 0.0078 0.3050  1 Cd 2.87
Br 0.2550 0.5101 0.2653  3 Rb 3.46, 3 Cs 3.61
Br 0.7970 0.5940 0.3047  1 Cd 2.87
Br 0.2105 0.0078 0.3050  1 Cd 2.87
Br 0.2030 0.4060 0.6953  1 Cd 2.87
Br 0.7895 0.9922 0.6950  1 Cd 2.87
Br 0.2027 0.9922 0.6950  1 Cd 2.87
Br 0.7450 0.4899 0.7347  3 Rb 3.46, 3 Cs 3.61
Cd 0.0000 0.0000 0.5000  6 Br 2.87

=====

5.
Entry from the Alexandria database: a relaxed structure of Cs2CdRhBr6 (PBE-GGA).

Properties
Raw total energy (eV/f.u.): -30.1
Crystal system: tetragonal
Total moment (μB per cell): 0.00
Calculated density (Mg/m³): 4.9
Energy relative to the elements, uncorrected (eV/atom): -1.012

a b c (Å): 7.7121 7.7121 7.6998
angles (deg): 59.95 59.95 90.00
Last column: nearest neighbours and their distance in Å.
Fractional positions:
Br 0.7370 0.7370 0.0000  1 Rh 2.58, 1 Cd 2.87
Br 0.7380 0.7380 0.5240  1 Rh 2.59, 1 Cd 2.85
Br 0.7370 0.2630 0.0000  1 Rh 2.58, 1 Cd 2.87
Br 0.2620 0.2620 0.4760  1 Rh 2.59, 1 Cd 2.85
Br 0.2630 0.7370 0.0000  1 Rh 2.58, 1 Cd 2.87
Br 0.2630 0.2630 0.0000  1 Rh 2.58, 1 Cd 2.87
Cd 0.0000 0.0000 0.0000  6 Br 2.85-2.87
Cs 0.2500 0.7500 0.5000  12 Br 3.85-3.86
Cs 0.7500 0.2500 0.5000  12 Br 3.85-3.86
Rh 0.5000 0.5000 0.0000  6 Br 2.58-2.59

=====

6.
Entry from the Alexandria database: a relaxed structure of Cs2CdRhBr (PBE-GGA).

Properties
Raw total energy (eV/f.u.): -12.0
Crystal system: tetragonal
Total moment (μB per cell): 0.00
Calculated density (Mg/m³): 4.1
Energy relative to the elements, uncorrected (eV/atom): -0.068

a b c (Å): 6.9148 4.7567 6.9148
angles (deg): 90.00 90.00 90.00
Last column: nearest neighbours and their distance in Å.
Fractional positions:
Rh 0.0000 0.5000 0.0000  2 Br 2.38
Br 0.0000 0.0000 0.0000  2 Rh 2.38
Cs 0.0000 0.0000 0.5000  2 Br 3.46
Cs 0.5000 0.0000 0.0000  2 Br 3.46
Cd 0.5000 0.5000 0.5000  8 Cs 4.20